(1)
3
Lattice="-4.164 -1.610 0.045 1.757 -4.572 -0.948 -0.543 1.535 4.716" Properties=species:S:1:pos:R:3 comment="AcTbGa (PBE, relaxed)" formation_energy_ev_per_atom=-0.24 spacegroup="P-6m2, No. 187" magmom_total_mub_per_cell=0.00 final_energy_ev_per_atom=-4.160 dos_ef_per_ev_atom=1.22 pbc="T T T"
Ac -4.164 -1.609 0.045
Tb -1.090 -3.340 0.962
Ga -1.860 -1.306 2.850

(2)
4
Lattice="-4.422 2.036 0.808 -0.982 -0.225 -4.806 -1.946 -4.467 0.607" Properties=species:S:1:pos:R:3 comment="AcTb2Ga (PBE, relaxed)" formation_energy_ev_per_atom=-0.13 spacegroup="P4/mmm, No. 123" magmom_total_mub_per_cell=0.00 final_energy_ev_per_atom=-4.232 dos_ef_per_ev_atom=1.63 pbc="T T T"
Ac -2.211 1.018 0.404
Tb -0.973 -2.234 0.304
Tb -0.491 -0.113 -2.403
Ga -3.675 -1.328 -1.695

(3)
6
Lattice="4.819 -0.232 -0.030 0.232 4.820 -0.032 0.055 0.049 8.039" Properties=species:S:1:pos:R:3 comment="AcTbGa (PBE, relaxed)" formation_energy_ev_per_atom=-0.37 spacegroup="P4/nmm, No. 129" magmom_total_mub_per_cell=0.62 final_energy_ev_per_atom=-4.287 dos_ef_per_ev_atom=1.29 pbc="T T T"
Ac 4.153 4.014 4.451
Ac 1.612 1.708 2.221
Tb 4.056 1.623 7.356
Tb 1.763 4.149 7.355
Ga 4.130 3.996 1.204
Ga 1.634 1.727 5.469

(4)
4
Lattice="5.497 0.000 0.000 2.748 4.760 0.000 2.748 1.587 4.488" Properties=species:S:1:pos:R:3 comment="AcTbTlGa (PBE, relaxed)" formation_energy_ev_per_atom=-0.37 spacegroup="F-43m, No. 216" magmom_total_mub_per_cell=0.00 final_energy_ev_per_atom=-3.903 dos_ef_per_ev_atom=0.55 pbc="T T T"
Ac 5.497 3.174 2.244
Tb 0.000 0.000 0.000
Tl 8.245 4.760 3.366
Ga 2.748 1.587 1.122

(5)
4
Lattice="5.461 0.000 0.000 2.731 4.729 0.000 2.731 1.576 4.459" Properties=species:S:1:pos:R:3 comment="AcTbTmGa (PBE, relaxed)" formation_energy_ev_per_atom=0.07 spacegroup="F-43m, No. 216" magmom_total_mub_per_cell=0.11 final_energy_ev_per_atom=-3.990 dos_ef_per_ev_atom=1.94 pbc="T T T"
Ac 8.192 4.729 3.344
Tm 5.461 3.153 2.229
Tb 0.000 0.000 0.000
Ga 2.731 1.576 1.115

(6)
6
Lattice="-2.165 3.475 -1.857 -1.101 -4.206 -1.144 -5.315 -0.195 5.832" Properties=species:S:1:pos:R:3 comment="AcTbZn2Ga2 (PBE, relaxed)" formation_energy_ev_per_atom=-0.54 spacegroup="P-3m1, No. 164" magmom_total_mub_per_cell=0.00 final_energy_ev_per_atom=-3.431 dos_ef_per_ev_atom=0.51 pbc="T T T"
Ac 0.000 0.000 0.000
Tb -2.657 -0.098 2.916
Zn -3.389 0.857 0.113
Zn -5.192 -1.783 2.718
Ga -5.610 0.775 2.550
Ga -2.971 -1.701 0.281

(7)
7
Lattice="-2.400 3.825 0.195 -4.495 -0.128 -0.452 -3.239 0.150 9.563" Properties=species:S:1:pos:R:3 comment="AcTb2Zn2Ga2 (PBE, relaxed)" formation_energy_ev_per_atom=-0.40 spacegroup="R-3m, No. 166" magmom_total_mub_per_cell=0.00 final_energy_ev_per_atom=-3.535 dos_ef_per_ev_atom=0.70 pbc="T T T"
Ac 0.000 0.000 0.000
Tb -2.872 0.572 5.800
Tb -7.263 3.275 3.506
Zn -4.815 2.214 2.067
Zn -5.319 1.634 7.239
Ga -7.608 2.877 7.054
Ga -2.526 0.970 2.252

(8)
12
Lattice="3.508 0.000 0.000 0.000 8.586 0.000 0.000 -4.293 7.436" Properties=species:S:1:pos:R:3 comment="AcGa9Tc2 (PBE, relaxed)" formation_energy_ev_per_atom=-0.30 spacegroup="P6/mmm, No. 191" magmom_total_mub_per_cell=0.00 final_energy_ev_per_atom=-4.638 dos_ef_per_ev_atom=0.47 pbc="T T T"
Ac 0.000 0.000 0.000
Ga 1.754 6.062 1.457
Ga 0.000 -2.147 3.718
Ga 0.000 2.147 3.718
Ga 1.754 4.293 4.522
Ga 1.754 -1.769 5.979
Ga 1.754 1.769 5.979
Ga 1.754 0.000 2.914
Ga 0.000 4.293 0.000
Ga 1.754 2.524 1.457
Tc 0.000 4.293 2.479
Tc 0.000 0.000 4.957